1.
First-principles (PBEsol) data for a relaxed structure of PWAu2, as listed in Alexandria.

total energy: -52.7 eV for the cell shown

a b c (Å): 3.2458 4.4705 9.1453
angles (deg): 90.00 90.00 90.00
With the nearest neighbours (Å) after each atom.
Space group Cmm2 (No. 35)
One atom of each set of equivalent atoms:
P: 0.0000 0.0000 0.0000 (multiplicity 2)  2 W 2.43
W: 0.0000 0.5000 0.1979 (multiplicity 2)  2 P 2.43
Au: 0.0000 0.0000 0.4513 (multiplicity 2)  6 Au 2.76-2.86, 2 W 2.83
Au: 0.0000 0.5000 0.7088 (multiplicity 2)  6 Au 2.76-2.86

---

2.
First-principles (PBEsol) data for a relaxed structure of ReOsRh2, as listed in Alexandria.

total energy: -42.2 eV for the cell shown

a b c (Å): 2.6928 4.3121 4.7398
angles (deg): 90.00 90.00 90.00
With the nearest neighbours (Å) after each atom.
Space group Pmm2 (No. 25)
One atom of each set of equivalent atoms:
Re: 0.0000 0.0000 0.0000 (multiplicity 1)  2 Os 2.64, 8 Rh 2.68-2.73, 2 Re 2.69
Os: 0.0000 0.5000 0.3230 (multiplicity 1)  2 Re 2.64, 8 Rh 2.67-2.73, 2 Os 2.69
Rh: 0.5000 0.0000 0.4979 (multiplicity 1)  4 Rh 2.65-2.69, 4 Os 2.67, 4 Re 2.72-2.73
Rh: 0.5000 0.5000 0.8224 (multiplicity 1)  4 Rh 2.65-2.69, 4 Re 2.68, 4 Os 2.72-2.73

---

3.
First-principles (PBEsol) data for a relaxed structure of SrS2IN, as listed in Alexandria.

formation energy (no corrections): 89.9 kJ per mole of atoms

a b c (Å): 5.6030 5.6030 4.7986
angles (deg): 90.00 90.00 90.00
With the nearest neighbours (Å) after each atom.
Space group P4/mmm (No. 123)
One atom of each set of equivalent atoms:
Sr: 0.0000 0.0000 0.0000 (multiplicity 1)  2 N 2.40
S: 0.0000 0.5000 0.0000 (multiplicity 2)  2 Sr 2.80
I: 0.5000 0.5000 0.5000 (multiplicity 1)  8 S 3.69, 4 N 3.96
N: 0.0000 0.0000 0.5000 (multiplicity 1)  2 Sr 2.40

---

4.
First-principles (PBEsol) data for a relaxed structure of Mn2AsCl, as listed in Alexandria.

formation energy (no corrections): 9.9 kJ per mole of atoms

a b c (Å): 3.0724 3.0724 6.4068
angles (deg): 90.00 90.00 90.00
With the nearest neighbours (Å) after each atom.
Space group P4/mmm (No. 123)
One atom of each set of equivalent atoms:
Mn: 0.0000 0.0000 0.2126 (multiplicity 2)  4 As 2.56, 1 Mn 2.72, 4 Cl 2.85
As: 0.5000 0.5000 0.0000 (multiplicity 1)  8 Mn 2.56
Cl: 0.5000 0.5000 0.5000 (multiplicity 1)  8 Mn 2.85, 4 Cl 3.07

---

5.
First-principles (PBEsol) data for a relaxed structure of MnCrSN2, as listed in Alexandria.

formation energy (no corrections): 26.0 kJ per mole of atoms

a b c (Å): 3.5859 3.5859 4.8919
angles (deg): 90.00 90.00 90.00
With the nearest neighbours (Å) after each atom.
Space group P4/mmm (No. 123)
One atom of each set of equivalent atoms:
Mn: 0.0000 0.0000 0.0000 (multiplicity 1)  4 S 2.54
Cr: 0.5000 0.5000 0.5000 (multiplicity 1)  4 N 1.79
S: 0.5000 0.5000 0.0000 (multiplicity 1)  2 Cr 2.45, 4 Mn 2.54
N: 0.0000 0.5000 0.5000 (multiplicity 2)  2 Cr 1.79

---

6.
First-principles (PBEsol) data for a relaxed structure of MnHgBr2, as listed in Alexandria.

formation energy (no corrections): 25.8 kJ per mole of atoms

a b c (Å): 7.1819 7.1819 7.1819
angles (deg): 90.00 90.00 90.00
With the nearest neighbours (Å) after each atom.
Space group F-43m (No. 216)
One atom of each set of equivalent atoms:
Mn: 0.0000 0.0000 0.0000 (multiplicity 4)  4 Hg 3.11, 4 Br 3.11
Hg: 0.2500 0.2500 0.2500 (multiplicity 4)  4 Mn 3.11, 4 Br 3.11
Br: 0.0000 0.0000 0.5000 (multiplicity 4)  4 Hg 3.11, 4 Br 3.11
Br: 0.2500 0.2500 0.7500 (multiplicity 4)  4 Mn 3.11, 4 Br 3.11

---

7.
First-principles (PBEsol) data for a relaxed structure of Li2Sb2Ir, as listed in Alexandria.

formation energy (no corrections): -32.1 kJ per mole of atoms

a b c (Å): 6.6952 6.6952 4.5140
angles (deg): 90.00 90.00 90.00
With the nearest neighbours (Å) after each atom.
Space group P4/mbm (No. 127)
One atom of each set of equivalent atoms:
Li: 0.1698 0.3302 0.0000 (multiplicity 4)  6 Sb 2.85-3.10
Sb: 0.1472 0.6472 0.5000 (multiplicity 4)  2 Ir 2.56, 1 Sb 2.79, 2 Li 2.85
Ir: 0.0000 0.0000 0.5000 (multiplicity 2)  4 Sb 2.56

---

8.
First-principles (PBEsol) data for a relaxed structure of Al2PAu2, as listed in Alexandria.

total energy: -43.8 eV for the cell shown

a b c (Å): 7.6709 7.6709 2.8550
angles (deg): 90.00 90.00 90.00
With the nearest neighbours (Å) after each atom.
Space group P4/mbm (No. 127)
One atom of each set of equivalent atoms:
Al: 0.1748 0.3252 0.0000 (multiplicity 4)  6 Au 2.58-2.74, 2 P 2.83, 2 Al 2.86
P: 0.0000 0.0000 0.0000 (multiplicity 2)  4 Al 2.83, 2 P 2.86
Au: 0.1268 0.6268 0.5000 (multiplicity 4)  6 Al 2.58-2.74, 3 Au 2.75-2.86

---

9.
First-principles (PBEsol) data for a relaxed structure of CdHgPCl2, as listed in Alexandria.

formation energy (no corrections): 17.0 kJ per mole of atoms

a b c (Å): 5.0080 5.0080 5.2534
angles (deg): 90.00 90.00 90.00
With the nearest neighbours (Å) after each atom.
Space group P4/mmm (No. 123)
One atom of each set of equivalent atoms:
Cd: 0.0000 0.0000 0.0000 (multiplicity 1)  4 Cl 2.50, 2 P 2.63
Hg: 0.5000 0.5000 0.5000 (multiplicity 1)  4 P 3.54, 8 Cl 3.63
P: 0.0000 0.0000 0.5000 (multiplicity 1)  2 Cd 2.63
Cl: 0.0000 0.5000 0.0000 (multiplicity 2)  2 Cd 2.50

---

10.
First-principles (PBEsol) data for a relaxed structure of YSc2Pt, as listed in Alexandria.

total energy: -59.1 eV for the cell shown

a b c (Å): 3.4532 4.9367 10.3117
angles (deg): 90.00 90.00 90.00
With the nearest neighbours (Å) after each atom.
Space group Immm (No. 71)
One atom of each set of equivalent atoms:
Y: 0.0000 0.0000 0.0000 (multiplicity 2)  4 Pt 3.01, 4 Sc 3.26
Sc: 0.0000 0.5000 0.2070 (multiplicity 4)  2 Pt 2.75
Pt: 0.0000 0.0000 0.5000 (multiplicity 2)  4 Sc 2.75, 4 Y 3.01

---

11.
First-principles (PBEsol) data for a relaxed structure of Sb2TeRuO, as listed in Alexandria.

formation energy (no corrections): 80.9 kJ per mole of atoms

a b c (Å): 5.0252 5.0252 4.9728
angles (deg): 90.00 90.00 90.00
With the nearest neighbours (Å) after each atom.
Space group P4/mmm (No. 123)
One atom of each set of equivalent atoms:
Sb: 0.0000 0.5000 0.0000 (multiplicity 2)  2 Ru 2.51
Te: 0.0000 0.0000 0.5000 (multiplicity 1)  2 Ru 2.49
Ru: 0.0000 0.0000 0.0000 (multiplicity 1)  2 Te 2.49, 4 Sb 2.51
O: 0.5000 0.5000 0.5000 (multiplicity 1)  8 Sb 3.53, 4 Te 3.55

---

12.
First-principles (PBEsol) data for a relaxed structure of SiHgCl2, as listed in Alexandria.

formation energy (no corrections): 10.9 kJ per mole of atoms

a b c (Å): 6.9457 6.9457 6.9457
angles (deg): 90.00 90.00 90.00
With the nearest neighbours (Å) after each atom.
Space group Fm-3m (No. 225)
One atom of each set of equivalent atoms:
Si: 0.0000 0.0000 0.0000 (multiplicity 4)  8 Cl 3.01
Hg: 0.0000 0.0000 0.5000 (multiplicity 4)  8 Cl 3.01
Cl: 0.2500 0.2500 0.2500 (multiplicity 8)  4 Si 3.01, 4 Hg 3.01

---

13.
First-principles (PBEsol) data for a relaxed structure of Ni2SbMoP, as listed in Alexandria.

formation energy (no corrections): 84.9 kJ per mole of atoms

a b c (Å): 4.5330 4.5330 4.5093
angles (deg): 90.00 90.00 90.00
With the nearest neighbours (Å) after each atom.
Space group P4/mmm (No. 123)
One atom of each set of equivalent atoms:
Ni: 0.0000 0.5000 0.0000 (multiplicity 2)  2 Mo 2.27
Sb: 0.0000 0.0000 0.5000 (multiplicity 1)  8 Ni 3.20, 4 P 3.21
Mo: 0.5000 0.5000 0.0000 (multiplicity 1)  2 P 2.25, 4 Ni 2.27
P: 0.5000 0.5000 0.5000 (multiplicity 1)  2 Mo 2.25

---

14.
First-principles (PBEsol) data for a relaxed structure of Fe2CoSb, as listed in Alexandria.

formation energy (no corrections): 23.7 kJ per mole of atoms

a b c (Å): 2.8826 3.6330 5.0835
angles (deg): 90.00 90.00 90.00
With the nearest neighbours (Å) after each atom.
Space group Pmmm (No. 47)
One atom of each set of equivalent atoms:
Fe: 0.0000 0.0000 0.2247 (multiplicity 2)  1 Fe 2.28
Co: 0.5000 0.5000 0.0000 (multiplicity 1)  2 Sb 2.54, 8 Fe 2.58
Sb: 0.5000 0.5000 0.5000 (multiplicity 1)  2 Co 2.54, 8 Fe 2.71

---

15.
First-principles (PBEsol) data for a relaxed structure of CaMoCN2, as listed in Alexandria.

formation energy (no corrections): 5.2 kJ per mole of atoms

a b c (Å): 3.9517 3.9517 4.0396
angles (deg): 90.00 90.00 90.00
With the nearest neighbours (Å) after each atom.
Space group P4/mmm (No. 123)
One atom of each set of equivalent atoms:
Ca: 0.0000 0.0000 0.0000 (multiplicity 1)  4 C 2.79, 8 N 2.83
Mo: 0.5000 0.5000 0.5000 (multiplicity 1)  4 N 1.98, 2 C 2.02
C: 0.5000 0.5000 0.0000 (multiplicity 1)  2 Mo 2.02
N: 0.0000 0.5000 0.5000 (multiplicity 2)  2 Mo 1.98

---

16.
First-principles (PBEsol) data for a relaxed structure of Fe2AgRu, as listed in Alexandria.

total energy: -118.0 eV for the cell shown

a b c (Å): 5.9952 5.9952 5.9952
angles (deg): 90.00 90.00 90.00
With the nearest neighbours (Å) after each atom.
Space group Fm-3m (No. 225)
One atom of each set of equivalent atoms:
Fe: 0.2500 0.2500 0.2500 (multiplicity 8)  4 Ru 2.60, 4 Ag 2.60
Ag: 0.0000 0.0000 0.0000 (multiplicity 4)  8 Fe 2.60
Ru: 0.0000 0.0000 0.5000 (multiplicity 4)  8 Fe 2.60

---

17.
First-principles (PBEsol) data for a relaxed structure of NaBe3Re, as listed in Alexandria.

total energy: -21.8 eV for the cell shown

a b c (Å): 4.3624 4.3624 4.3624
angles (deg): 90.00 90.00 90.00
With the nearest neighbours (Å) after each atom.
Space group Pm-3m (No. 221)
One atom of each set of equivalent atoms:
Na: 0.0000 0.0000 0.0000 (multiplicity 1)  12 Be 3.08
Be: 0.0000 0.5000 0.5000 (multiplicity 3)  2 Re 2.18
Re: 0.5000 0.5000 0.5000 (multiplicity 1)  6 Be 2.18

---

18.
First-principles (PBEsol) data for a relaxed structure of Li2ZrMo, as listed in Alexandria.

total energy: -45.9 eV for the cell shown

a b c (Å): 2.7981 4.9585 9.0297
angles (deg): 90.00 90.00 90.00
With the nearest neighbours (Å) after each atom.
Space group Imm2 (No. 44)
One atom of each set of equivalent atoms:
Li: 0.0000 0.0000 0.0000 (multiplicity 2)  2 Li 2.33
Li: 0.0000 0.5000 0.2937 (multiplicity 2)  2 Li 2.33
Zr: 0.0000 0.0000 0.5257 (multiplicity 2)  2 Mo 2.79, 6 Li 2.80-2.86, 2 Zr 2.80
Mo: 0.0000 0.5000 0.7579 (multiplicity 2)  6 Li 2.72-2.87, 2 Zr 2.79, 2 Mo 2.80

---

19.
First-principles (PBEsol) data for a relaxed structure of Pr2InCuSe5, as listed in Alexandria.

formation energy (no corrections): -121.7 kJ per mole of atoms

a b c (Å): 12.0416 4.0413 17.2018
angles (deg): 90.00 90.00 90.00
With the nearest neighbours (Å) after each atom.
Space group Pnma (No. 62)
One atom of each set of equivalent atoms:
Pr: 0.0228 0.2500 0.1788 (multiplicity 4)  8 Se 3.01-3.28, 1 Cu 3.21
Pr: 0.1379 0.7500 0.5961 (multiplicity 4)  8 Se 2.98-3.23
In: 0.1904 0.7500 0.3633 (multiplicity 4)  6 Se 2.67-2.86
Cu: 0.0717 0.7500 0.9958 (multiplicity 4)  4 Se 2.39-2.52, 2 Cu 2.66
Se: 0.0155 0.2500 0.6946 (multiplicity 4)  1 In 2.67
Se: 0.1003 0.2500 0.9210 (multiplicity 4)  3 Cu 2.42-2.52
Se: 0.1052 0.2500 0.4644 (multiplicity 4)  2 In 2.86, 3 Pr 3.06-3.11
Se: 0.1812 0.7500 0.1114 (multiplicity 4)  1 Cu 2.39
Se: 0.2395 0.7500 0.7701 (multiplicity 4)  2 In 2.71

---

20.
First-principles (PBEsol) data for a relaxed structure of MnBe2Re, as listed in Alexandria.

total energy: -90.1 eV for the cell shown

a b c (Å): 2.5890 2.5890 23.2186
angles (deg): 90.00 90.00 120.00
With the nearest neighbours (Å) after each atom.
Space group R-3m (No. 166, hexagonal axes)
One atom of each set of equivalent atoms:
Mn: 0.0000 0.0000 0.0000 (multiplicity 3)  6 Be 2.38, 6 Mn 2.59
Be: 0.0000 0.0000 0.2538 (multiplicity 6)  3 Mn 2.38, 3 Re 2.52, 6 Be 2.59
Re: 0.0000 0.0000 0.5000 (multiplicity 3)  6 Be 2.52, 6 Re 2.59

---

21.
First-principles (PBEsol) data for a relaxed structure of Ca2HgCl, as listed in Alexandria.

formation energy (no corrections): -93.3 kJ per mole of atoms

a b c (Å): 7.6409 7.6421 3.4447
angles (deg): 90.00 90.11 90.00
With the nearest neighbours (Å) after each atom.
Space group C2/m (No. 12)
One atom of each set of equivalent atoms:
Ca: 0.2500 0.2500 0.0000 (multiplicity 4)  4 Hg 3.20-3.21, 4 Cl 3.20-3.21, 2 Ca 3.44
Hg: 0.0000 0.0000 0.5000 (multiplicity 2)  8 Ca 3.20-3.21, 2 Hg 3.44
Cl: 0.0000 0.5000 0.5000 (multiplicity 2)  8 Ca 3.20-3.21, 2 Cl 3.44

---

22.
First-principles (PBEsol) data for a relaxed structure of ZnCuPt2, as listed in Alexandria.

total energy: -20.9 eV for the cell shown

a b c (Å): 2.7207 4.0681 5.1104
angles (deg): 90.00 105.21 90.00
With the nearest neighbours (Å) after each atom.
Space group Pm (No. 6)
One atom of each set of equivalent atoms:
Zn: 0.0000 0.0000 0.0000 (multiplicity 1)  2 Cu 2.45, 7 Pt 2.59-2.71, 2 Zn 2.72
Cu: 0.1413 0.5000 0.2777 (multiplicity 1)  2 Zn 2.45, 7 Pt 2.56-2.74, 2 Cu 2.72
Pt: 0.4001 0.5000 0.7974 (multiplicity 1)  3 Cu 2.56-2.74, 4 Zn 2.64, 2 Pt 2.72
Pt: 0.7376 0.0000 0.4748 (multiplicity 1)  3 Zn 2.59-2.71, 4 Cu 2.63, 2 Pt 2.72

---

23.
First-principles (PBEsol) data for a relaxed structure of DyAlAu, as listed in Alexandria.

total energy: -61.9 eV for the cell shown

a b c (Å): 7.1189 4.4183 7.6687
angles (deg): 90.00 90.00 90.00
With the nearest neighbours (Å) after each atom.
Space group Pnma (No. 62)
One atom of each set of equivalent atoms:
Dy: 0.0088 0.2500 0.1950 (multiplicity 4)  5 Au 2.98-3.15, 6 Al 3.09-3.30
Al: 0.1717 0.2500 0.5778 (multiplicity 4)  4 Au 2.60-2.74
Au: 0.2125 0.7500 0.4042 (multiplicity 4)  4 Al 2.60-2.74

---

24.
First-principles (PBEsol) data for a relaxed structure of TaFe2As, as listed in Alexandria.

total energy: -35.9 eV for the cell shown

a b c (Å): 2.8131 2.8131 6.3996
angles (deg): 90.00 90.00 90.00
With the nearest neighbours (Å) after each atom.
Space group P4/mmm (No. 123)
One atom of each set of equivalent atoms:
Ta: 0.0000 0.0000 0.0000 (multiplicity 1)  8 Fe 2.71, 4 Ta 2.81
Fe: 0.5000 0.5000 0.2885 (multiplicity 2)  4 As 2.41
As: 0.0000 0.0000 0.5000 (multiplicity 1)  8 Fe 2.41

---

25.
First-principles (PBEsol) data for a relaxed structure of MgHAu2, as listed in Alexandria.

total energy: -53.0 eV for the cell shown

a b c (Å): 6.5504 6.5504 5.2557
angles (deg): 90.00 90.00 90.00
With the nearest neighbours (Å) after each atom.
Space group I-42d (No. 122)
One atom of each set of equivalent atoms:
Mg: 0.0000 0.0000 0.0000 (multiplicity 4)  2 H 2.63, 8 Au 2.76-2.86
H: 0.0000 0.0000 0.5000 (multiplicity 4)  4 Au 2.04
Au: 0.1560 0.7500 0.6250 (multiplicity 8)  2 H 2.04

---

26.
First-principles (PBEsol) data for a relaxed structure of MnOs2Au, as listed in Alexandria.

total energy: -36.4 eV for the cell shown

a b c (Å): 2.6807 3.7252 5.6120
angles (deg): 90.00 90.00 90.00
With the nearest neighbours (Å) after each atom.
Space group Pmmm (No. 47)
One atom of each set of equivalent atoms:
Mn: 0.0000 0.0000 0.0000 (multiplicity 1)  8 Os 2.60, 2 Mn 2.68, 2 Au 2.81
Os: 0.5000 0.5000 0.2185 (multiplicity 2)  3 Os 2.45-2.68, 4 Mn 2.60
Au: 0.0000 0.0000 0.5000 (multiplicity 1)  2 Au 2.68, 8 Os 2.79, 2 Mn 2.81

---

27.
First-principles (PBEsol) data for a relaxed structure of Mg2NbCrI, as listed in Alexandria.

formation energy (no corrections): 107.0 kJ per mole of atoms

a b c (Å): 5.5940 5.5940 4.3775
angles (deg): 90.00 90.00 90.00
With the nearest neighbours (Å) after each atom.
Space group P4/mmm (No. 123)
One atom of each set of equivalent atoms:
Mg: 0.0000 0.5000 0.0000 (multiplicity 2)  2 Nb 2.80
Nb: 0.0000 0.0000 0.0000 (multiplicity 1)  2 Cr 2.19
Cr: 0.0000 0.0000 0.5000 (multiplicity 1)  2 Nb 2.19
I: 0.5000 0.5000 0.5000 (multiplicity 1)  8 Mg 3.55, 4 Cr 3.96